# 1
An optimized crystal structure of Mn4Mo, computed with PBE.

Properties
ρ	5.6	g/cm³
energy of formation from the pure elements	1411	meV per atom
total magnetic moment	11.82	μB/f.u.
VASP energy	-8.0913	eV/atom

```
Mn4Mo
1.0
4.546 0.000 0.000
0.000 4.546 0.000
0.000 0.000 4.546
Mn Mo
4 1
direct
0.000 0.000 0.000
0.000 0.500 0.500
0.500 0.000 0.500
0.500 0.500 0.000
0.500 0.500 0.500
```

***

# 2
An optimized crystal structure of PmSc2Rh, computed with PBE.

Properties
ρ	6.2	g/cm³
energy of formation from the pure elements	-465	meV per atom
relative energy among the computed polymorphs	0.027	eV per atom
total magnetic moment	0.00	μB/f.u.
VASP energy	-6.6563	eV/atom

```
PmSc2Rh
1.0
3.300 0.000 0.000
0.000 3.300 0.000
0.000 0.000 8.341
Pm Sc Rh
1 2 1
direct
0.000 0.000 0.000
0.500 0.500 0.313
0.500 0.500 0.687
0.000 0.000 0.500
```

***

# 3
An optimized crystal structure of Li2LaZr, computed with PBE.

Properties
ρ	4.3	g/cm³
energy of formation from the pure elements	309	meV per atom
relative energy among the computed polymorphs	0.155	eV per atom
total magnetic moment	0.01	μB/f.u.
VASP energy	-4.0167	eV/atom

```
Li2LaZr
1.0
3.116 0.000 0.000
0.000 3.116 0.000
0.000 0.000 9.783
Li La Zr
2 1 1
direct
0.000 0.000 0.229
0.000 0.000 0.771
0.500 0.500 0.500
0.500 0.500 0.000
```